{"formula": "CaAc2Tl3Se6", "functional": "PBE-GGA", "state": "optimized geometry", "raw_formation_energy_ev_per_atom": -1.290, "dft_energy_ev_per_atom": -4.476, "lattice_angstrom": [[9.9210, -2.2548, 0.0000], [9.9210, 2.2548, 0.0000], [-2.3240, 0.0000, 8.7850]], "species": ["Ca", "Ac", "Ac", "Tl", "Tl", "Tl", "Se", "Se", "Se", "Se", "Se", "Se"], "frac_coords": [[0.0000, 0.0000, 0.0000], [0.3366, 0.3366, 0.6755], [0.6634, 0.6634, 0.3245], [0.0000, 0.0000, 0.5000], [0.3381, 0.3381, 0.1650], [0.6619, 0.6619, 0.8350], [0.1570, 0.1570, 0.0890], [0.1730, 0.1730, 0.5663], [0.4966, 0.4966, 0.7744], [0.5034, 0.5034, 0.2256], [0.8270, 0.8270, 0.4337], [0.8430, 0.8430, 0.9110]]}